Computed, not measured: VCr after structural relaxation at the GGA-PBE level of DFT.

**Symmetry**: No. 19
**Formation energy**: 0.143 eV/atom
**E**: -9.228 eV/atom
**D(E_F)**: 0.98 states/eV/atom
**Crystal system**: orthorhombic

abc: 4.761 4.979 8.575
angles: 90.00 90.00 90.00
Sites, in units of the cell vectors:
V  0.375  0.279  0.527
V  0.875  0.221  0.473
V  0.625  0.779  0.973
V  0.125  0.721  0.027
V  0.370  0.018  0.269
V  0.870  0.482  0.731
V  0.630  0.518  0.231
V  0.130  0.982  0.769
Cr  0.629  0.735  0.488
Cr  0.129  0.765  0.512
Cr  0.371  0.235  0.012
Cr  0.871  0.265  0.988
Cr  0.126  0.502  0.274
Cr  0.626  0.998  0.726
Cr  0.874  0.002  0.226
Cr  0.374  0.498  0.774